A geometry-optimized LaTb2Dy5Er structure, computed with GGA-PBE.

Its total magnetic moment is 0.0 Bohr magnetons per cell. The calculation puts the formation energy at 0.285 eV/atom. As for the crystal system: tetragonal. The energy is -78.40 eV for the cell shown.

Cell and atoms, written as POSCAR:
```
LaTb2Dy5Er
1.0
8.9215 0.0000 0.0000
0.0000 8.9215 0.0000
-4.4608 -4.4608 7.4386
La Tb Dy Er
2 4 10 2
direct
0.2500 0.2500 0.5000
0.7500 0.7500 0.5000
0.1134 0.3866 0.0000
0.6134 0.1134 0.0000
0.3866 0.8866 0.0000
0.8866 0.6134 0.0000
0.9265 0.4265 0.2638
0.6627 0.1627 0.7362
0.0735 0.5735 0.7362
0.1627 0.0735 0.7362
0.5735 0.6627 0.7362
0.8373 0.9265 0.2638
0.4265 0.3373 0.2638
0.3373 0.8373 0.2638
0.5000 0.5000 0.0000
0.0000 0.0000 0.0000
0.2500 0.7500 0.5000
0.7500 0.2500 0.5000
```